Record 1
Compound: Nd3Ag2Hg
Source: Alexandria via LeMat-Bulk
Functional: PBE
Structure: optimized geometry

The structure belongs to space group P4/mmm (No. 123); the cell edges are 3.8003, 3.8003 and 11.2409 Å and the angles 90.00°, 90.00° and 90.00°. The asymmetric unit holds Nd at (0.0000, 0.0000, 0.0000), Nd at (0.0000, 0.0000, 0.3297), Ag at (0.5000, 0.5000, 0.1630) and Hg at (0.5000, 0.5000, 0.5000).

The value obtained for the total magnetization is 0.44 μB per formula unit. The calculated volume comes out at 27.1 Å³ per atom. The mass density comes out at 8.684 g/cm³. Its uncorrected energy is -3.72 eV/atom. As for the energy of formation from the pure elements: -332 meV/atom.

=====

Record 2
Compound: Nd5AgHg2
Source: Alexandria via LeMat-Bulk
Functional: PBE
Structure: optimized geometry

The structure belongs to space group I4/mcm (No. 140); the cell edges are 7.8564, 7.8564 and 15.7493 Å and the angles 90.00°, 90.00° and 90.00°. The asymmetric unit holds Nd at (0.0000, 0.0000, 0.0000), Nd at (0.1631, 0.3369, 0.1546), Ag at (0.0000, 0.0000, 0.2500) and Hg at (0.1316, 0.3684, 0.5000).

The value obtained for the total magnetization is 0.00 μB per formula unit. The calculated volume comes out at 30.4 Å³ per atom. The mass density comes out at 8.406 g/cm³. Its uncorrected energy is -3.65 eV/atom. As for the energy of formation from the pure elements: -236 meV/atom.

=====

Record 3
Compound: Nd4AgHg2
Source: Alexandria via LeMat-Bulk
Functional: PBE
Structure: optimized geometry

The structure belongs to space group I4/mmm (No. 139); the cell edges are 7.5313, 7.5313 and 7.5404 Å and the angles 90.00°, 90.00° and 90.00°. The asymmetric unit holds Nd at (0.2500, 0.2500, 0.2500), Ag at (0.0000, 0.0000, 0.0000) and Hg at (0.0000, 0.5000, 0.0000).

The value obtained for the total magnetization is 1.40 μB per formula unit. The calculated volume comes out at 30.5 Å³ per atom. The mass density comes out at 8.433 g/cm³. Its uncorrected energy is -3.47 eV/atom. As for the energy of formation from the pure elements: -252 meV/atom.

=====

Look up the calculated volume of the first one. 27.1 Å³ per atom